(1)
# YOs

A relaxed structure of YOs (PBE-GGA, the Alexandria database).

Structure (POSCAR):
```
YOs
1.0
4.230 0.000 0.000
-2.115 3.664 0.000
0.000 0.000 13.965
Y Os
4 4
direct
0.333 0.667 0.114
0.333 0.667 0.386
0.667 0.333 0.614
0.667 0.333 0.886
0.000 0.000 0.250
0.000 0.000 0.750
0.333 0.667 0.750
0.667 0.333 0.250
```

Summary:
Energy of formation from the pure elements = -0.043 eV/atom

(2)
# Y4Os3

A relaxed structure of Y4Os3 (PBE-GGA, the Alexandria database).

Structure (POSCAR):
```
Y4Os3
1.0
5.373 0.000 0.000
-2.686 4.653 0.000
0.000 0.000 6.072
Y Os
4 3
direct
0.000 0.000 0.239
0.000 0.000 0.761
0.333 0.667 0.500
0.667 0.333 0.500
0.000 0.500 0.000
0.500 0.000 0.000
0.500 0.500 0.000
```

Summary:
Relative energy among the computed polymorphs = 0.000 eV/atom
Energy of formation from the pure elements = -0.004 eV/atom

(3)
# YOs2

A relaxed structure of YOs2 (PBE-GGA, the Alexandria database).

Structure (POSCAR):
```
YOs2
1.0
4.286 0.000 0.000
-2.143 3.712 0.000
0.000 0.000 7.313
Y Os
2 4
direct
0.000 0.000 0.250
0.000 0.000 0.750
0.333 0.667 0.044
0.333 0.667 0.456
0.667 0.333 0.544
0.667 0.333 0.956
```

Summary:
Energy of formation from the pure elements = 0.086 eV/atom

(4)
# Y2Os

A relaxed structure of Y2Os (PBE-GGA, the Alexandria database).

Structure (POSCAR):
```
Y2Os
1.0
6.855 0.000 0.000
0.000 6.855 0.000
0.000 0.000 6.855
Y Os
8 4
direct
0.183 0.183 0.183
0.183 0.317 0.683
0.317 0.683 0.183
0.317 0.817 0.683
0.683 0.183 0.317
0.683 0.317 0.817
0.817 0.683 0.317
0.817 0.817 0.817
0.000 0.000 0.500
0.000 0.500 0.000
0.500 0.000 0.000
0.500 0.500 0.500
```

Summary:
Energy of formation from the pure elements = -0.089 eV/atom

(5)
# Y2Os

A relaxed structure of Y2Os (PBE-GGA, the Alexandria database).

Structure (POSCAR):
```
Y2Os
1.0
7.111 -1.775 0.000
7.111 1.775 0.000
-2.554 0.000 6.355
Y Os
4 2
direct
0.022 0.022 0.255
0.279 0.279 0.238
0.721 0.721 0.762
0.978 0.978 0.745
0.385 0.385 0.955
0.615 0.615 0.045
```

Summary:
Energy of formation from the pure elements = -0.086 eV/atom

(6)
# Y3Os4

A relaxed structure of Y3Os4 (PBE-GGA, the Alexandria database).

Structure (POSCAR):
```
Y3Os4
1.0
5.938 0.000 0.000
-2.969 5.142 0.000
0.000 0.000 4.729
Y Os
3 4
direct
0.000 0.500 0.000
0.500 0.000 0.000
0.500 0.500 0.000
0.000 0.000 0.247
0.000 0.000 0.753
0.333 0.667 0.500
0.667 0.333 0.500
```

Summary:
Relative energy among the computed polymorphs = 0.811 eV/atom
Energy of formation from the pure elements = 0.930 eV/atom

(7)
# YOs

A relaxed structure of YOs (PBE-GGA, the Alexandria database).

Structure (POSCAR):
```
YOs
1.0
2.405 1.388 3.836
-2.405 1.388 3.836
0.000 -2.777 3.836
Y Os
2 2
direct
0.126 0.126 0.126
0.874 0.874 0.874
0.383 0.383 0.383
0.617 0.617 0.617
```

Summary:
Energy of formation from the pure elements = 0.283 eV/atom

(8)
# YOs4

A relaxed structure of YOs4 (PBE-GGA, the Alexandria database).

Structure (POSCAR):
```
YOs4
1.0
4.719 0.000 0.000
0.000 4.719 0.000
0.000 0.000 4.719
Y Os
1 4
direct
0.000 0.000 0.000
0.000 0.000 0.500
0.000 0.500 0.000
0.500 0.000 0.000
0.500 0.500 0.500
```

Summary:
Energy of formation from the pure elements = 3.487 eV/atom

The highest energy of formation from the pure elements belongs to which entry? YOs4